No. 1
ScAs2P: optimized geometry, PBE.

Cell lengths 5.221, 5.221, 5.221 Å; angles 140.42, 127.38, 67.80 degrees
Sites, in units of the cell vectors:
Sc1 0.000 0.000 0.000
As1 0.285 0.785 0.500
As2 0.715 0.215 0.500
P1 0.500 0.500 0.000

Calculated values
Fermi-level density of states: 0.399 states/eV per atom
DFT formation energy: -0.407 eV per atom
Final energy: -5.67 eV/atom

No. 2
Sc2AsP: optimized geometry, PBE.

Cell lengths 3.539, 3.982, 5.416 Å; angles 90.00, 90.00, 90.00 degrees
Sites, in units of the cell vectors:
Sc1 0.000 0.000 0.000
Sc2 0.000 0.500 0.500
As1 0.500 0.000 0.500
P1 0.500 0.500 0.000

Calculated values
Fermi-level density of states: 0.369 states/eV per atom
DFT formation energy: -1.025 eV per atom
Final energy: -6.71 eV/atom